A relaxed La4Pr4Sm3 crystal. Source: Alexandria, functional PBE.

## Properties
Formation energy: 0.118 eV/atom
Raw total energy: -4.70 eV per atom
Symmetry: Immm
Energy above the lowest structure with this stoichiometry: 0.0 meV per atom

Cell: 12.4421 12.4421 12.4421 Å, 162.99 133.96 49.43°
Closest atoms and distances in Å follow each position.
Positions (direct):
La 0.0246 0.8553 0.1693  3 La 3.29-3.68, 3 Pr 3.55-3.66
La 0.3139 0.1447 0.1693  3 La 3.29-3.68, 3 Pr 3.55-3.66
La 0.6861 0.8553 0.8307  3 La 3.29-3.68, 3 Pr 3.55-3.66
La 0.9754 0.1447 0.8307  3 La 3.29-3.68, 3 Pr 3.55-3.66
Pr 0.2644 0.7644 0.5000  2 Sm 3.48, 6 La 3.66-3.82, 2 Pr 3.68
Pr 0.3113 0.0000 0.3113  6 Sm 3.52-3.55, 2 La 3.55, 3 Pr 3.67-3.68
Pr 0.6887 0.0000 0.6887  6 Sm 3.52-3.55, 2 La 3.55, 3 Pr 3.67-3.68
Pr 0.7356 0.2356 0.5000  2 Sm 3.48, 6 La 3.66-3.82, 2 Pr 3.68
Sm 0.0000 0.5000 0.5000  4 Pr 3.55, 2 Sm 3.68
Sm 0.3949 0.3949 0.0000  6 Pr 3.48-3.52, 2 Sm 3.68, 4 La 3.81
Sm 0.6051 0.6051 0.0000  6 Pr 3.48-3.52, 2 Sm 3.68, 4 La 3.81